Compound: Ta4Re2W
Source: the Alexandria database
Functional: PBE
Structure: optimized geometry

Total magnetic moment = 0.00 Bohr magnetons per cell
Symmetry = I4/mmm
Formation energy = 1.49 eV/atom
Polymorph energy (0 for the lowest one) = 140.5 kJ/mol of atoms
Volume = 148.4 Å³ per cell

Unit cell a=4.7463 b=4.7463 c=7.3922 alpha=71.27 beta=71.27 gamma=90.00
Fractional coordinates of all 7 atoms:
1 Ta 0.1997 0.1997 0.6006
2 Ta 0.5000 0.0000 0.0000
3 Ta 0.0000 0.5000 0.0000
4 Ta 0.8003 0.8003 0.3994
5 Re 0.3884 0.3884 0.2233
6 Re 0.6116 0.6116 0.7767
7 W 0.0000 0.0000 0.0000

---

Compound: MgCuPt2
Source: the Alexandria database
Functional: PBE
Structure: optimized geometry

Total magnetic moment = 0.00 Bohr magnetons per cell
Symmetry = R-3m
Formation energy = -0.39 eV/atom
Volume = 60.2 Å³ per cell

Unit cell a=8.7350 b=8.7350 c=8.7350 alpha=18.76 beta=18.76 gamma=18.76
Fractional coordinates of all 4 atoms:
1 Pt 0.0008 0.0008 0.0008
2 Pt 0.4992 0.4992 0.4992
3 Cu 0.7500 0.7500 0.7500
4 Mg 0.2500 0.2500 0.2500

---

Compound: Ac2PmMoN4
Source: the Alexandria database
Functional: PBE
Structure: optimized geometry

Total magnetic moment = 0.00 Bohr magnetons per cell
Symmetry = Cmcm
Energy relative to the elements, uncorrected = -0.75 eV per atom
Volume = 294.5 Å³ per cell

Unit cell a=3.6228 b=6.5779 c=12.8547 alpha=90.00 beta=90.00 gamma=105.98
Fractional coordinates of all 16 atoms:
1 Mo 0.8431 0.6861 0.7500
2 Mo 0.1569 0.3139 0.2500
3 N 0.5873 0.1747 0.2500
4 N 0.7247 0.4494 0.6452
5 N 0.4127 0.8253 0.7500
6 N 0.0000 0.0000 0.0000
7 N 0.7247 0.4494 0.8548
8 N 0.2753 0.5506 0.3548
9 N 0.0000 0.0000 0.5000
10 N 0.2753 0.5506 0.1452
11 Ac 0.3671 0.7342 0.9618
12 Ac 0.3671 0.7342 0.5382
13 Ac 0.6329 0.2658 0.4618
14 Ac 0.6329 0.2658 0.0382
15 Pm 0.1266 0.2533 0.7500
16 Pm 0.8734 0.7467 0.2500

---

Compound: BaNp2Co2S6
Source: the Alexandria database
Functional: PBE
Structure: optimized geometry

Total magnetic moment = 4.13 Bohr magnetons per cell
Symmetry = P-1
Energy relative to the elements, uncorrected = -1.08 eV per atom
Volume = 232.8 Å³ per cell

Unit cell a=7.3261 b=7.6773 c=6.8388 alpha=114.80 beta=107.05 gamma=41.84
Site moments in Bohr magnetons follow the coordinates.
Fractional coordinates of all 11 atoms:
1 S 0.2798 0.8323 0.6398  -0.11
2 S 0.9865 0.5884 0.8004  -0.12
3 S 0.7202 0.1677 0.3602  -0.11
4 S 0.0135 0.4116 0.1996  -0.12
5 S 0.6696 0.2105 0.9046  -0.09
6 S 0.3304 0.7895 0.0954  -0.09
7 Ba 0.5000 0.0000 0.5000  0.00
8 Np 0.2089 0.6023 0.2156  3.41
9 Np 0.7911 0.3977 0.7844  3.41
10 Co 0.0887 0.8026 0.8145  -1.08
11 Co 0.9113 0.1974 0.1855  -1.08

---

Compound: Sr4CaHoCu6Pb4O16
Source: the Alexandria database
Functional: PBE
Structure: optimized geometry

Total magnetic moment = 0.00 Bohr magnetons per cell
Symmetry = P-1
Energy relative to the elements, uncorrected = -1.65 eV per atom
Volume = 469.2 Å³ per cell

Unit cell a=5.4090 b=5.4410 c=15.9447 alpha=90.03 beta=89.32 gamma=90.00
Fractional coordinates of all 32 atoms:
1 Cu 0.5000 0.5000 0.5000
2 Cu 0.9953 0.4993 0.1052
3 Cu 0.0047 0.5007 0.8948
4 Cu 0.5048 0.0000 0.8949
5 Cu 0.0000 0.0000 0.5000
6 Cu 0.4952 0.0000 0.1051
7 O 0.7484 0.7446 0.9070
8 O 0.4896 0.0092 0.2511
9 O 0.4479 0.5604 0.3862
10 O 0.7406 0.2549 0.0930
11 O 0.0516 0.0603 0.6140
12 O 0.5521 0.4396 0.6138
13 O 0.2597 0.2559 0.9050
14 O 0.0104 0.5109 0.7489
15 O 0.9896 0.4891 0.2511
16 O 0.2514 0.7439 0.0949
17 O 0.9484 0.9397 0.3860
18 O 0.7403 0.7441 0.0950
19 O 0.2594 0.7451 0.9070
20 O 0.2516 0.2554 0.0930
21 O 0.7486 0.2561 0.9051
22 O 0.5104 0.9908 0.7489
23 Ca 0.0000 0.0000 0.0000
24 Sr 0.4911 0.4993 0.2197
25 Sr 0.5089 0.5007 0.7803
26 Sr 0.0089 0.0001 0.7820
27 Sr 0.9911 0.9999 0.2180
28 Ho 0.5000 0.5000 0.0000
29 Pb 0.5001 0.9940 0.3880
30 Pb 0.0001 0.4941 0.6119
31 Pb 0.9999 0.5059 0.3881
32 Pb 0.4999 0.0060 0.6120

---

Compound: KBi
Source: the Alexandria database
Functional: PBE
Structure: optimized geometry

Total magnetic moment = 12.06 Bohr magnetons per cell
Symmetry = Pm-3n
Formation energy = 0.49 eV/atom
Volume = 1064.6 Å³ per cell

Unit cell a=10.2109 b=10.2109 c=10.2109 alpha=90.00 beta=90.00 gamma=90.00
Site moments in Bohr magnetons follow the coordinates.
Fractional coordinates of all 12 atoms:
1 Bi 0.0000 0.7500 0.5000  1.13
2 Bi 0.7500 0.5000 0.0000  1.13
3 Bi 0.2500 0.5000 0.0000  1.13
4 Bi 0.5000 0.0000 0.2500  1.13
5 Bi 0.0000 0.2500 0.5000  1.13
6 Bi 0.5000 0.0000 0.7500  1.13
7 K 0.5000 0.7500 0.0000  0.03
8 K 0.2500 0.0000 0.5000  0.03
9 K 0.5000 0.2500 0.0000  0.03
10 K 0.0000 0.5000 0.2500  0.03
11 K 0.7500 0.0000 0.5000  0.03
12 K 0.0000 0.5000 0.7500  0.03

---

Compound: K3Sn2Au3
Source: the Alexandria database
Functional: PBE
Structure: optimized geometry

Total magnetic moment = 0.00 Bohr magnetons per cell
Symmetry = Cmcm
Formation energy = -0.32 eV/atom
Polymorph energy (0 for the lowest one) = 0.0 kJ/mol of atoms
Volume = 510.7 Å³ per cell

Unit cell a=5.0228 b=6.7091 c=16.3420 alpha=90.00 beta=90.00 gamma=111.98
Fractional coordinates of all 16 atoms:
1 Sn 0.7844 0.5688 0.9081
2 Sn 0.2156 0.4312 0.4081
3 Sn 0.2156 0.4312 0.0919
4 Sn 0.7844 0.5688 0.5919
5 K 0.3898 0.7796 0.7500
6 K 0.0761 0.1521 0.8936
7 K 0.6102 0.2204 0.2500
8 K 0.9239 0.8479 0.3936
9 K 0.9239 0.8479 0.1064
10 K 0.0761 0.1521 0.6064
11 Au 0.6459 0.2918 0.4553
12 Au 0.3541 0.7082 0.5447
13 Au 0.2981 0.5962 0.2500
14 Au 0.3541 0.7082 0.9553
15 Au 0.6459 0.2918 0.0447
16 Au 0.7019 0.4038 0.7500

---

Compound: AlNi
Source: the Alexandria database
Functional: PBE
Structure: optimized geometry

Total magnetic moment = 0.00 Bohr magnetons per cell
Symmetry = C2/m
Formation energy = -0.58 eV/atom
Volume = 49.2 Å³ per cell

Unit cell a=4.6170 b=4.6170 c=4.0913 alpha=73.90 beta=73.90 gamma=36.17
Fractional coordinates of all 4 atoms:
1 Ni 0.4977 0.4977 0.4685
2 Ni 0.2523 0.2523 0.1148
3 Al 0.9912 0.9912 0.9737
4 Al 0.7588 0.7588 0.6096